<w>
DFT (PBE-GGA) results for crystalline BaMg2Tc at its relaxed geometry.

a = 5.3252 Å, b = 5.3252 Å, c = 3.4012 Å
α = 90.00°, β = 90.00°, γ = 90.00°
Last column: nearest neighbours and their distance in Å.
Fractional positions:
Mg 0.0000 0.0000 0.0000  4 Ba 3.16, 4 Tc 3.16, 2 Mg 3.40
Mg 0.5000 0.5000 0.0000  4 Ba 3.16, 4 Tc 3.16, 2 Mg 3.40
Tc 0.5000 0.0000 0.5000  8 Mg 3.16, 2 Tc 3.40
Ba 0.0000 0.5000 0.5000  8 Mg 3.16, 2 Ba 3.40

<x>
DFT (PBE-GGA) results for crystalline BaMg2Tc at its relaxed geometry.

a = 3.4519 Å, b = 5.1803 Å, c = 7.5885 Å
α = 47.56°, β = 90.00°, γ = 90.00°
Last column: nearest neighbours and their distance in Å.
Fractional positions:
Mg 0.5000 0.5000 0.0000  6 Mg 3.11-3.45, 4 Ba 3.29
Mg 0.0000 0.0000 0.0000  6 Mg 3.11-3.45, 4 Tc 3.29
Ba 0.0000 0.0000 0.5000  4 Tc 3.11, 4 Mg 3.29, 2 Ba 3.45
Tc 0.5000 0.5000 0.5000  4 Ba 3.11, 4 Mg 3.29, 2 Tc 3.45

<y>
DFT (PBE-GGA) results for crystalline BaMg2Tc at its relaxed geometry.

a = 8.0339 Å, b = 8.0339 Å, c = 8.0339 Å
α = 155.99°, β = 147.21°, γ = 41.05°
Last column: nearest neighbours and their distance in Å.
Fractional positions:
Mg 0.0158 0.0158 0.0000  4 Tc 2.82, 2 Mg 3.05
Mg 0.6517 0.1517 0.5000  2 Tc 2.76, 2 Mg 3.05
Ba 0.3267 0.8267 0.5000  2 Tc 3.17, 2 Ba 3.34
Tc 0.5058 0.5058 0.0000  6 Mg 2.76-2.82

On energetic grounds, <y> is preferred over the next structure by 222 meV per atom.